Record 1
The following is a PBE-GGA calculation of a relaxed structure of Ac6Co2BrCl3, from the Alexandria database.

Uncorrected formation energy: -0.984 eV/atom
Space group: C2/m (12)

Unit cell a=10.6506 b=10.6506 c=8.9089 alpha=100.12 beta=100.12 gamma=22.80
Fractional coordinates of all 12 atoms:
Ac 0.0351 0.0351 0.2769
Ac 0.3196 0.3196 0.4380
Ac 0.3221 0.3221 0.8845
Ac 0.6779 0.6779 0.1155
Ac 0.6804 0.6804 0.5620
Ac 0.9649 0.9649 0.7231
Co 0.1753 0.1753 0.3290
Co 0.8247 0.8247 0.6710
Br 0.5000 0.5000 0.0000
Cl 0.1197 0.1197 0.8056
Cl 0.5000 0.5000 0.5000
Cl 0.8803 0.8803 0.1944

Record 2
The following is a PBE-GGA calculation of a relaxed structure of Ac8Co3Br4Cl, from the Alexandria database.

Uncorrected formation energy: -0.879 eV/atom
Space group: C2/m (12)

Unit cell a=8.6302 b=8.6302 c=9.6181 alpha=116.71 beta=116.71 gamma=60.00
Fractional coordinates of all 16 atoms:
Ac 0.2101 0.7442 0.6983
Ac 0.2290 0.2290 0.6869
Ac 0.2558 0.2558 0.3018
Ac 0.2558 0.7899 0.3017
Ac 0.7442 0.2101 0.6983
Ac 0.7442 0.7442 0.6982
Ac 0.7710 0.7710 0.3131
Ac 0.7899 0.2558 0.3017
Co 0.0000 0.0000 0.5000
Co 0.0000 0.5000 0.5000
Co 0.5000 0.0000 0.5000
Br 0.0000 0.0000 0.0000
Br 0.0000 0.5000 0.0000
Br 0.5000 0.0000 0.0000
Br 0.5000 0.5000 0.0000
Cl 0.5000 0.5000 0.5000

Record 3
The following is a PBE-GGA calculation of a relaxed structure of AcBrClF, from the Alexandria database.

Uncorrected formation energy: -2.929 eV/atom
Space group: R3m (160)

Unit cell a=4.3750 b=4.3750 c=21.5896 alpha=90.00 beta=90.00 gamma=120.00
Fractional coordinates of all 12 atoms:
Ac 0.0000 0.0000 0.0000
Ac 0.3333 0.6667 0.6667
Ac 0.6667 0.3333 0.3333
Br 0.0000 0.0000 0.2395
Br 0.3333 0.6667 0.9062
Br 0.6667 0.3333 0.5728
Cl 0.0000 0.0000 0.4151
Cl 0.3333 0.6667 0.0818
Cl 0.6667 0.3333 0.7485
F 0.0000 0.0000 0.6670
F 0.3333 0.6667 0.3337
F 0.6667 0.3333 0.0003

Record 4
The following is a PBE-GGA calculation of a relaxed structure of Ac8Ir3Br4Cl, from the Alexandria database.

Uncorrected formation energy: -1.203 eV/atom
Space group: C2/m (12)

Unit cell a=8.8589 b=8.8589 c=9.7168 alpha=117.15 beta=117.15 gamma=60.00
Fractional coordinates of all 16 atoms:
Ac 0.2088 0.7455 0.6995
Ac 0.2306 0.2306 0.6916
Ac 0.2545 0.7912 0.3005
Ac 0.2545 0.2545 0.3005
Ac 0.7455 0.7455 0.6995
Ac 0.7455 0.2088 0.6995
Ac 0.7694 0.7694 0.3084
Ac 0.7912 0.2545 0.3005
Ir 0.0000 0.0000 0.5000
Ir 0.0000 0.5000 0.5000
Ir 0.5000 0.0000 0.5000
Br 0.0000 0.0000 0.0000
Br 0.0000 0.5000 0.0000
Br 0.5000 0.0000 0.0000
Br 0.5000 0.5000 0.0000
Cl 0.5000 0.5000 0.5000

Record 5
The following is a PBE-GGA calculation of a relaxed structure of Ac4IrBr2Cl, from the Alexandria database.

Uncorrected formation energy: -1.202 eV/atom
Space group: P2/m (10)

Unit cell a=7.8820 b=4.3413 c=8.5310 alpha=90.00 beta=108.13 gamma=90.00
Fractional coordinates of all 8 atoms:
Ac 0.2104 0.0000 0.2042
Ac 0.2425 0.5000 0.7928
Ac 0.7575 0.5000 0.2072
Ac 0.7896 0.0000 0.7958
Ir 0.0000 0.5000 0.0000
Br 0.0000 0.0000 0.5000
Br 0.5000 0.5000 0.5000
Cl 0.5000 0.0000 0.0000

Record 6
The following is a PBE-GGA calculation of a relaxed structure of Ac8Ni3Br4Cl, from the Alexandria database.

Uncorrected formation energy: -0.943 eV/atom
Space group: R-3m (166)

Unit cell a=9.5322 b=9.5322 c=9.5322 alpha=54.10 beta=54.10 gamma=54.10
Fractional coordinates of all 16 atoms:
Ac 0.2203 0.7429 0.7429
Ac 0.2297 0.2297 0.2297
Ac 0.2571 0.2571 0.7797
Ac 0.2571 0.7797 0.2571
Ac 0.7429 0.2203 0.7429
Ac 0.7429 0.7429 0.2203
Ac 0.7703 0.7703 0.7703
Ac 0.7797 0.2571 0.2571
Ni 0.0000 0.0000 0.5000
Ni 0.0000 0.5000 0.0000
Ni 0.5000 0.0000 0.0000
Br 0.0000 0.0000 0.0000
Br 0.0000 0.5000 0.5000
Br 0.5000 0.0000 0.5000
Br 0.5000 0.5000 0.0000
Cl 0.5000 0.5000 0.5000

Record 7
The following is a PBE-GGA calculation of a relaxed structure of AcBrClO4, from the Alexandria database.

Uncorrected formation energy: -1.023 eV/atom
Space group: C2/m (12)

Unit cell a=6.7106 b=6.7106 c=7.1815 alpha=101.56 beta=101.56 gamma=71.73
Fractional coordinates of all 14 atoms:
Ac 0.2204 0.2204 0.1270
Ac 0.7796 0.7796 0.8730
Br 0.3639 0.3639 0.7405
Br 0.6361 0.6361 0.2595
Cl 0.0188 0.0188 0.7648
Cl 0.9812 0.9812 0.2352
O 0.1307 0.4824 0.8766
O 0.2868 0.2868 0.5048
O 0.4786 0.4786 0.2474
O 0.4824 0.1307 0.8766
O 0.5176 0.8693 0.1234
O 0.5214 0.5214 0.7526
O 0.7132 0.7132 0.4952
O 0.8693 0.5176 0.1234

Record 8
The following is a PBE-GGA calculation of a relaxed structure of Ac4OsBr2Cl, from the Alexandria database.

Uncorrected formation energy: -1.028 eV/atom
Space group: P2/m (10)

Unit cell a=7.9766 b=4.3465 c=8.5120 alpha=90.00 beta=107.46 gamma=90.00
Fractional coordinates of all 8 atoms:
Ac 0.2045 0.0000 0.1988
Ac 0.2384 0.5000 0.7939
Ac 0.7616 0.5000 0.2061
Ac 0.7955 0.0000 0.8012
Os 0.0000 0.5000 0.0000
Br 0.0000 0.0000 0.5000
Br 0.5000 0.5000 0.5000
Cl 0.5000 0.0000 0.0000

Record 9
The following is a PBE-GGA calculation of a relaxed structure of Ac3OsBrCl, from the Alexandria database.

Uncorrected formation energy: -0.994 eV/atom
Space group: P2_1/m (11)

Unit cell a=9.8578 b=4.3838 c=10.4276 alpha=90.00 beta=93.94 gamma=90.00
Fractional coordinates of all 12 atoms:
Ac 0.0796 0.2500 0.3559
Ac 0.1621 0.2500 0.9212
Ac 0.3297 0.7500 0.6408
Ac 0.6703 0.2500 0.3592
Ac 0.8379 0.7500 0.0788
Ac 0.9204 0.7500 0.6441
Os 0.1274 0.2500 0.6506
Os 0.8726 0.7500 0.3494
Br 0.3929 0.7500 0.3424
Br 0.6071 0.2500 0.6576
Cl 0.3744 0.7500 0.9279
Cl 0.6256 0.2500 0.0721

Record 10
The following is a PBE-GGA calculation of a relaxed structure of Ac4PtBr2Cl, from the Alexandria database.

Uncorrected formation energy: -1.276 eV/atom
Space group: P2/m (10)

Unit cell a=7.4993 b=4.3263 c=8.6996 alpha=90.00 beta=108.23 gamma=90.00
Fractional coordinates of all 8 atoms:
Ac 0.2272 0.0000 0.2090
Ac 0.2587 0.5000 0.7843
Ac 0.7413 0.5000 0.2157
Ac 0.7728 0.0000 0.7910
Pt 0.0000 0.5000 0.0000
Br 0.0000 0.0000 0.5000
Br 0.5000 0.5000 0.5000
Cl 0.5000 0.0000 0.0000

Record 11
The following is a PBE-GGA calculation of a relaxed structure of Ac4RhBr2Cl, from the Alexandria database.

Uncorrected formation energy: -1.173 eV/atom
Space group: P2/m (10)

Unit cell a=7.7134 b=4.2809 c=8.5095 alpha=90.00 beta=107.73 gamma=90.00
Fractional coordinates of all 8 atoms:
Ac 0.2164 0.0000 0.2050
Ac 0.2515 0.5000 0.7874
Ac 0.7485 0.5000 0.2126
Ac 0.7836 0.0000 0.7950
Rh 0.0000 0.5000 0.0000
Br 0.0000 0.0000 0.5000
Br 0.5000 0.5000 0.5000
Cl 0.5000 0.0000 0.0000

Record 12
The following is a PBE-GGA calculation of a relaxed structure of Ac8Rh3Br3Cl, from the Alexandria database.

Uncorrected formation energy: -1.050 eV/atom
Space group: R-3m (166)

Unit cell a=9.3204 b=9.3204 c=9.3204 alpha=57.25 beta=57.25 gamma=57.25
Fractional coordinates of all 15 atoms:
Ac 0.2082 0.7540 0.7540
Ac 0.2328 0.2328 0.2328
Ac 0.2460 0.2460 0.7918
Ac 0.2460 0.7918 0.2460
Ac 0.7540 0.2082 0.7540
Ac 0.7540 0.7540 0.2082
Ac 0.7672 0.7672 0.7672
Ac 0.7918 0.2460 0.2460
Rh 0.0000 0.0000 0.5000
Rh 0.0000 0.5000 0.0000
Rh 0.5000 0.0000 0.0000
Br 0.0000 0.5000 0.5000
Br 0.5000 0.0000 0.5000
Br 0.5000 0.5000 0.0000
Cl 0.5000 0.5000 0.5000